Here is a geometry-optimized Sr2La2MgTi3O12 structure from Alexandria via LeMat-Bulk. Energies are from GGA-PBEsol.

Calculated values
Raw formation energy   -3.242 eV per atom
Total energy   -8.44 eV/atom

Structure (CIF):
```
data_Sr2La2MgTi3O12
_chemical_formula_sum 'Sr2 La2 Mg1 Ti3 O12'
_cell_length_a 5.530
_cell_length_b 5.536
_cell_length_c 7.804
_cell_angle_alpha 89.97
_cell_angle_beta 89.98
_cell_angle_gamma 89.99
_symmetry_space_group_name_H-M 'P 1'
_symmetry_Int_Tables_number 1
_symmetry_space_group_name_Hall 'P 1'
loop_
_atom_site_label
_atom_site_fract_x
_atom_site_fract_y
_atom_site_fract_z
Sr1 0.000 0.000 0.000
Sr2 0.465 0.499 0.490
La1 0.504 0.494 0.006
La2 0.950 0.987 0.483
Mg1 0.480 0.996 0.244
Ti1 0.474 0.997 0.743
Ti2 0.979 0.495 0.745
Ti3 0.985 0.495 0.245
O1 0.194 0.770 0.282
O2 0.205 0.774 0.706
O3 0.259 0.287 0.210
O4 0.261 0.276 0.779
O5 0.476 0.922 0.984
O6 0.504 0.050 0.505
O7 0.718 0.718 0.272
O8 0.721 0.729 0.713
O9 0.753 0.236 0.780
O10 0.762 0.234 0.214
O11 0.980 0.552 0.991
O12 0.990 0.425 0.499
```